PrU2N3: relaxed, GGA-PBE.

```
PrU2N3
1.0
-0.3443 1.8882 -4.9999
3.4774 -5.2176 -2.2099
-5.3643 -3.7819 -1.0588
Pr U N
2 4 6
Cartesian
-2.2027 -3.8372 -2.7316
-0.0285 -3.2741 -5.5370
-0.3337 -1.5918 -0.5782
-0.5059 -0.6477 -3.0781
-1.5532 -7.4078 -2.6906
-1.7253 -6.4637 -5.1905
-4.9060 -2.4821 -4.9020
-1.5383 -1.5481 -4.7812
-0.0924 -2.6990 -2.4471
-2.1388 -4.4124 -5.8215
-0.6930 -5.5633 -3.4874
2.6748 -4.6292 -3.3666
```

- E_form (uncorrected): -2.82 eV/f.u.